Al2ZnCo (PBE-GGA, optimized geometry); energy relative to the elements = -182 meV per atom; calculated total energy = -4.148 eV per atom; DOS at the Fermi energy = 0.461 states/eV/atom; calculated volume = 13.57 Å³/atom; total moment = 0.00 μB/cell; theoretical density = 5.45 Mg/m³
1.0
2.872 0.000 0.000
0.000 3.630 0.000
0.000 0.000 5.206
Al Zn Co
2 1 1
Cartesian
0.000 0.000 0.000
1.436 1.815 1.503
1.436 1.815 3.940
0.000 0.000 2.550